# CsVReO6

A relaxed CsVReO6 crystal (PBE+U, Alexandria).

Cell and atoms, written as extended XYZ:
```
9
Lattice="5.168 0.086 -0.039 2.660 4.652 -0.078 -0.059 -0.088 6.701" Properties=species:S:1:pos:R:3 pbc="T T T"
Cs 0.002 0.002 0.066
V 5.145 3.159 3.110
Re 2.563 1.501 3.445
O 1.190 1.877 2.170
O 1.968 0.029 4.398
O 4.114 1.793 4.373
O 6.700 2.778 4.388
O 3.646 2.747 2.213
O 3.087 0.061 2.252
```

Calculated values
**Electronic total energy**: -66.5 eV/f.u.
**Spin magnetization**: 1.000 μB/cell